Density functional theory data (PBE) for a relaxed structure of BaTi3Zn.

total energy: -22.9 eV for the cell shown
density of states at the Fermi level: 8.8 states/eV per cell
formation enthalpy at 0 K: 805 meV/atom
calculated volume: 122.2 Å³ per cell

Cell lengths 4.9625, 4.9625, 4.9625 Å; angles 90.00, 90.00, 90.00 degrees
Fractional positions:
Ba 0.0000 0.0000 0.0000
Ti 0.0000 0.5000 0.5000
Ti 0.5000 0.0000 0.5000
Ti 0.5000 0.5000 0.0000
Zn 0.5000 0.5000 0.5000